[1]
Here is a relaxed CrSnRu crystal from Alexandria via LeMat-Bulk. Energies are from GGA-PBE.

Cell lengths 4.2494, 3.1144, 7.2982 Å; angles 90.00, 95.68, 90.00 degrees
Positions (direct):
Cr  0.2020  0.2500  0.0178
Cr  0.7980  0.7500  0.9822
Sn  0.2367  0.7500  0.3551
Sn  0.7633  0.2500  0.6449
Ru  0.2757  0.7500  0.7492
Ru  0.7243  0.2500  0.2508

**Symmetry**: P2_1/m (11)


[2]
Here is a relaxed Cr2SnRu2 crystal from Alexandria via LeMat-Bulk. Energies are from GGA-PBE.

Cell lengths 7.2989, 7.2989, 2.8234 Å; angles 90.00, 90.00, 90.00 degrees
Positions (direct):
Cr  0.1583  0.3417  0.0000
Cr  0.3417  0.8417  0.0000
Cr  0.6583  0.1583  0.0000
Cr  0.8417  0.6583  0.0000
Sn  0.0000  0.0000  0.5000
Sn  0.5000  0.5000  0.5000
Ru  0.1310  0.6310  0.5000
Ru  0.3690  0.1310  0.5000
Ru  0.6310  0.8690  0.5000
Ru  0.8690  0.3690  0.5000

**Symmetry**: P4/mbm (127)


[3]
Here is a relaxed CrSnRu3 crystal from Alexandria via LeMat-Bulk. Energies are from GGA-PBE.

Cell lengths 4.4559, 4.4559, 4.4559 Å; angles 90.00, 90.00, 90.00 degrees
Positions (direct):
Cr  0.0000  0.0000  0.0000
Sn  0.5000  0.5000  0.5000
Ru  0.0000  0.0000  0.5000
Ru  0.0000  0.5000  0.0000
Ru  0.5000  0.0000  0.0000

**Symmetry**: Pm-3m (221)


Electronic total energy in eV per atom, matching the order above: -7.523; -8.127; -7.321